The following is a DFT calculation (GGA-PBE) of a relaxed Sc2AlSi2 crystal.

```
data_Sc2AlSi2
_space_group_name_H-M_alt 'P 1'
_space_group_IT_number 1
_space_group_name_Hall 'P 1'
_cell_length_a 7.842
_cell_length_b 7.842
_cell_length_c 3.103
_cell_angle_alpha 90.00
_cell_angle_beta 90.00
_cell_angle_gamma 90.00
loop_
_atom_site_label
_atom_site_type_symbol
_atom_site_fract_x
_atom_site_fract_y
_atom_site_fract_z
Sc1 Sc 0.366 0.866 0.000
Sc2 Sc 0.866 0.634 0.000
Sc3 Sc 0.634 0.134 0.000
Sc4 Sc 0.134 0.366 0.000
Si1 Si 0.169 0.669 0.500
Si2 Si 0.669 0.831 0.500
Si3 Si 0.831 0.331 0.500
Si4 Si 0.331 0.169 0.500
Al1 Al 0.000 0.000 0.000
Al2 Al 0.500 0.500 0.000
```

* E_tot: -56.82 eV for the cell shown

---

The following is a DFT calculation (GGA-PBE) of a relaxed Pm4GeSe2Br crystal.

```
data_Pm4GeSe2Br
_space_group_name_H-M_alt 'P 1'
_space_group_IT_number 1
_space_group_name_Hall 'P 1'
_cell_length_a 4.228
_cell_length_b 7.278
_cell_length_c 7.454
_cell_angle_alpha 70.94
_cell_angle_beta 90.00
_cell_angle_gamma 90.00
loop_
_atom_site_label
_atom_site_type_symbol
_atom_site_fract_x
_atom_site_fract_y
_atom_site_fract_z
Pm1 Pm 0.000 0.764 0.722
Pm2 Pm 0.000 0.236 0.278
Pm3 Pm 0.500 0.748 0.269
Pm4 Pm 0.500 0.252 0.731
Ge1 Ge 0.000 0.500 0.500
Se1 Se 0.000 0.000 0.000
Se2 Se 0.500 0.000 0.500
Br1 Br 0.500 0.500 0.000
```

* E_tot: -44.13 eV for the cell shown

---

The following is a DFT calculation (GGA-PBE) of a relaxed SrTcSb2 crystal.

```
data_SrTcSb2
_space_group_name_H-M_alt 'P 1'
_space_group_IT_number 1
_space_group_name_Hall 'P 1'
_cell_length_a 3.400
_cell_length_b 3.400
_cell_length_c 8.109
_cell_angle_alpha 90.00
_cell_angle_beta 90.00
_cell_angle_gamma 90.00
loop_
_atom_site_label
_atom_site_type_symbol
_atom_site_fract_x
_atom_site_fract_y
_atom_site_fract_z
Sb1 Sb 0.000 0.000 0.946
Sb2 Sb 0.000 0.000 0.554
Sr1 Sr 0.500 0.500 0.250
Tc1 Tc 0.500 0.500 0.750
```

* excess energy over the best structure of this formula in the dataset: 0.068 eV/atom
* E_tot: -21.04 eV for the cell shown

---

The following is a DFT calculation (GGA-PBE) of a relaxed La6Pd2I3Br crystal.

```
data_La6Pd2I3Br
_space_group_name_H-M_alt 'P 1'
_space_group_IT_number 1
_space_group_name_Hall 'P 1'
_cell_length_a 7.615
_cell_length_b 7.615
_cell_length_c 8.236
_cell_angle_alpha 98.88
_cell_angle_beta 98.88
_cell_angle_gamma 119.78
loop_
_atom_site_label
_atom_site_type_symbol
_atom_site_fract_x
_atom_site_fract_y
_atom_site_fract_z
La1 La 0.930 0.575 0.793
La2 La 0.712 0.712 0.201
La3 La 0.070 0.425 0.207
La4 La 0.575 0.930 0.793
La5 La 0.288 0.288 0.799
La6 La 0.425 0.070 0.207
Pd1 Pd 0.332 0.668 0.000
Pd2 Pd 0.668 0.332 0.000
I1 I 0.158 0.842 0.500
I2 I 0.842 0.158 0.500
I3 I 0.500 0.500 0.500
Br1 Br 0.000 0.000 0.000
```

* E_tot: -58.40 eV for the cell shown

---

The following is a DFT calculation (GGA-PBE) of a relaxed PrAl3Ag crystal.

```
data_PrAl3Ag
_space_group_name_H-M_alt 'P 1'
_space_group_IT_number 1
_space_group_name_Hall 'P 1'
_cell_length_a 6.077
_cell_length_b 6.318
_cell_length_c 6.222
_cell_angle_alpha 119.50
_cell_angle_beta 90.00
_cell_angle_gamma 90.00
loop_
_atom_site_label
_atom_site_type_symbol
_atom_site_fract_x
_atom_site_fract_y
_atom_site_fract_z
Pr1 Pr 0.250 0.494 0.747
Pr2 Pr 0.750 0.506 0.253
Al1 Al 0.500 0.000 0.228
Al2 Al 0.500 0.000 0.772
Al3 Al 0.000 0.000 0.228
Al4 Al 0.000 0.000 0.772
Al5 Al 0.250 0.306 0.153
Al6 Al 0.750 0.694 0.847
Ag1 Ag 0.250 0.765 0.383
Ag2 Ag 0.750 0.235 0.617
```

* excess energy over the best structure of this formula in the dataset: 0.000 eV/atom
* E_tot: -41.86 eV for the cell shown
* energy of formation from the pure elements: -0.414 eV per atom

---

The following is a DFT calculation (GGA-PBE) of a relaxed V4Tc2Ru crystal.

```
data_V4Tc2Ru
_space_group_name_H-M_alt 'P 1'
_space_group_IT_number 1
_space_group_name_Hall 'P 1'
_cell_length_a 4.454
_cell_length_b 4.454
_cell_length_c 6.903
_cell_angle_alpha 71.18
_cell_angle_beta 71.18
_cell_angle_gamma 90.00
loop_
_atom_site_label
_atom_site_type_symbol
_atom_site_fract_x
_atom_site_fract_y
_atom_site_fract_z
Ru1 Ru 0.000 0.000 0.000
Tc1 Tc 0.379 0.379 0.242
Tc2 Tc 0.621 0.621 0.758
V1 V 0.198 0.198 0.604
V2 V 0.802 0.802 0.396
V3 V 0.000 0.500 0.000
V4 V 0.500 0.000 0.000
```

* E_tot: -59.61 eV for the cell shown
* energy of formation from the pure elements: 0.981 eV per atom